Here is an optimized crystal structure of LiYPuGa from the Alexandria database. Energies are from GGA-PBE.

Calculated values
formation energy from the elements	-0.5	eV/f.u.
E_tot	-26.2	eV for the cell shown
spin magnetization	1.538	μB/atom
symmetry	F-43m (216)

abc: 5.101 5.101 5.101
angles: 60.00 60.00 60.00
Each line ends with the local moment (μB).
Atoms (fractional coordinates):
Ga1 0.000 0.000 0.000  -0.07
Y1 0.750 0.750 0.750  0.18
Li1 0.500 0.500 0.500  0.05
Pu1 0.250 0.250 0.250  5.43

Here is an optimized crystal structure of RbLiGa from the Alexandria database. Energies are from GGA-PBE.

Calculated values
formation energy from the elements	-0.1	eV/f.u.
E_tot	-24.2	eV for the cell shown
spin magnetization	0.000	μB/atom
excess energy over the best structure of this formula in the dataset	0.130	eV/f.u.
symmetry	C2/m (12)

abc: 10.532 5.312 9.227
angles: 90.00 99.12 90.00
Atoms (fractional coordinates):
Li1 0.546 0.000 0.758
Li2 0.454 0.000 0.242
Li3 0.546 0.500 0.258
Li4 0.454 0.500 0.742
Rb1 0.212 0.000 0.700
Rb2 0.212 0.500 0.200
Rb3 0.788 0.000 0.300
Rb4 0.788 0.500 0.800
Ga1 0.500 0.750 0.500
Ga2 0.500 0.750 0.000
Ga3 0.500 0.250 0.000
Ga4 0.500 0.250 0.500

Here is an optimized crystal structure of RbLi2Ga from the Alexandria database. Energies are from GGA-PBE.

Calculated values
formation energy from the elements	0.0	eV/f.u.
E_tot	-7.8	eV for the cell shown
spin magnetization	0.000	μB/atom
symmetry	R-3m (166)

abc: 4.763 4.763 7.028
angles: 70.19 70.19 60.00
Atoms (fractional coordinates):
Li1 0.184 0.184 0.449
Li2 0.816 0.816 0.551
Rb1 0.000 0.000 0.000
Ga1 0.500 0.500 0.500

Here is an optimized crystal structure of Rb2LiGa2 from the Alexandria database. Energies are from GGA-PBE.

Calculated values
formation energy from the elements	1.4	eV/f.u.
E_tot	-17.0	eV for the cell shown
spin magnetization	0.000	μB/atom
excess energy over the best structure of this formula in the dataset	0.801	eV/f.u.
symmetry	P4/mbm (127)

abc: 10.776 10.776 3.463
angles: 90.00 90.00 90.00
Atoms (fractional coordinates):
Li1 0.500 0.500 0.000
Li2 0.000 0.000 0.000
Ga1 0.582 0.918 0.500
Ga2 0.418 0.082 0.500
Ga3 0.918 0.418 0.500
Ga4 0.082 0.582 0.500
Rb1 0.796 0.704 0.000
Rb2 0.296 0.796 0.000
Rb3 0.704 0.204 0.000
Rb4 0.204 0.296 0.000

Here is an optimized crystal structure of Rb2LiGa2 from the Alexandria database. Energies are from GGA-PBE.

Calculated values
formation energy from the elements	0.7	eV/f.u.
E_tot	-9.2	eV for the cell shown
spin magnetization	0.000	μB/atom
excess energy over the best structure of this formula in the dataset	0.129	eV/f.u.
symmetry	I4/mmm (139)

abc: 3.908 3.908 13.006
angles: 81.36 81.36 90.00
Atoms (fractional coordinates):
Ga1 0.750 0.250 0.500
Ga2 0.250 0.750 0.500
Rb1 0.378 0.378 0.243
Rb2 0.622 0.622 0.757
Li1 0.000 0.000 0.000

Here is an optimized crystal structure of RbLi2Ga from the Alexandria database. Energies are from GGA-PBE.

Calculated values
formation energy from the elements	0.7	eV/f.u.
E_tot	-14.3	eV for the cell shown
spin magnetization	0.000	μB/atom
symmetry	I-42d (122)

abc: 5.564 5.564 10.044
angles: 73.92 73.92 90.00
Atoms (fractional coordinates):
Rb1 0.750 0.250 0.500
Rb2 0.000 0.000 0.000
Li1 0.372 0.625 0.250
Li2 0.875 0.628 0.750
Li3 0.375 0.622 0.750
Li4 0.378 0.125 0.250
Ga1 0.250 0.750 0.500
Ga2 0.500 0.500 0.000

Here is an optimized crystal structure of RbLiGa from the Alexandria database. Energies are from GGA-PBE.

Calculated values
formation energy from the elements	-0.3	eV/f.u.
E_tot	-12.3	eV for the cell shown
spin magnetization	0.000	μB/atom
excess energy over the best structure of this formula in the dataset	0.000	eV/f.u.
symmetry	P1 (1)

abc: 4.416 4.406 13.137
angles: 79.66 89.92 59.93
Atoms (fractional coordinates):
Ga1 0.448 0.587 0.313
Ga2 0.788 0.907 0.333
Li1 0.082 0.320 0.219
Li2 0.154 0.174 0.426
Rb1 0.894 0.697 0.653
Rb2 0.345 0.800 0.992

Here is an optimized crystal structure of RbLi4Ga9 from the Alexandria database. Energies are from GGA-PBE.

Calculated values
formation energy from the elements	-3.2	eV/f.u.
E_tot	-78.2	eV for the cell shown
spin magnetization	0.000	μB/atom
symmetry	I4/mcm (140)

abc: 9.236 9.236 9.088
angles: 120.54 120.54 90.00
Atoms (fractional coordinates):
Ga1 0.500 0.000 0.000
Ga2 0.801 0.049 0.000
Ga3 0.709 0.442 0.651
Ga4 0.951 0.801 0.000
Ga5 0.291 0.558 0.349
Ga6 0.791 0.291 0.349
Ga7 0.049 0.199 0.000
Ga8 0.058 0.791 0.349
Ga9 0.199 0.951 0.000
Ga10 0.699 0.549 0.000
Ga11 0.558 0.058 0.349
Ga12 0.000 0.500 0.000
Ga13 0.942 0.209 0.651
Ga14 0.442 0.942 0.651
Ga15 0.301 0.451 0.000
Ga16 0.209 0.709 0.651
Ga17 0.549 0.301 0.000
Ga18 0.451 0.699 0.000
Li1 0.437 0.303 0.240
Li2 0.197 0.063 0.760
Li3 0.303 0.803 0.240
Li4 0.063 0.563 0.760
Li5 0.697 0.197 0.760
Li6 0.563 0.697 0.760
Li7 0.803 0.937 0.240
Li8 0.937 0.437 0.240
Rb1 0.750 0.750 0.500
Rb2 0.250 0.250 0.500

Here is an optimized crystal structure of RbLiGa from the Alexandria database. Energies are from GGA-PBE.

Calculated values
formation energy from the elements	-0.1	eV/f.u.
E_tot	-24.0	eV for the cell shown
spin magnetization	0.000	μB/atom
excess energy over the best structure of this formula in the dataset	0.165	eV/f.u.
symmetry	C2/m (12)

abc: 7.199 4.440 14.587
angles: 90.00 109.52 90.00
Atoms (fractional coordinates):
Ga1 0.592 0.000 0.780
Ga2 0.408 0.500 0.720
Ga3 0.592 0.500 0.280
Ga4 0.408 0.000 0.220
Li1 0.262 0.000 0.624
Li2 0.738 0.500 0.876
Li3 0.738 0.000 0.376
Li4 0.262 0.500 0.124
Rb1 0.799 0.500 0.612
Rb2 0.799 0.000 0.112
Rb3 0.201 0.000 0.888
Rb4 0.201 0.500 0.388

Here is an optimized crystal structure of Rb2LiGa2 from the Alexandria database. Energies are from GGA-PBE.

Calculated values
formation energy from the elements	0.6	eV/f.u.
E_tot	-18.6	eV for the cell shown
spin magnetization	0.000	μB/atom
excess energy over the best structure of this formula in the dataset	0.000	eV/f.u.
symmetry	P4/mbm (127)

abc: 7.653 7.653 6.062
angles: 90.00 90.00 90.00
Atoms (fractional coordinates):
Rb1 0.314 0.186 0.500
Rb2 0.686 0.814 0.500
Rb3 0.814 0.314 0.500
Rb4 0.186 0.686 0.500
Li1 0.000 0.000 0.000
Li2 0.500 0.500 0.000
Ga1 0.884 0.616 0.000
Ga2 0.116 0.384 0.000
Ga3 0.384 0.884 0.000
Ga4 0.616 0.116 0.000

Here is an optimized crystal structure of RbLiGa from the Alexandria database. Energies are from GGA-PBE.

Calculated values
formation energy from the elements	-0.3	eV/f.u.
E_tot	-12.3	eV for the cell shown
spin magnetization	0.000	μB/atom
excess energy over the best structure of this formula in the dataset	0.010	eV/f.u.
symmetry	P1 (1)

abc: 4.493 4.492 12.639
angles: 90.45 99.44 119.97
Atoms (fractional coordinates):
Li1 0.153 0.497 0.312
Li2 0.560 0.204 0.429
Rb1 0.374 0.618 0.659
Rb2 0.966 0.398 0.018
Ga1 0.428 0.133 0.220
Ga2 0.810 0.826 0.298

> Which value of E_tot does entry 6 give?

-14.3 eV for the cell shown